Computed, not measured: a relaxed BeAlH crystal at the PBE level of DFT.

The structure in extended XYZ format:
```
6
Lattice="-1.579 4.018 0.944 -3.884 -1.442 -0.361 0.757 -2.880 3.362" Properties=species:S:1:pos:R:3 pbc="T T T"
Al -2.900 1.220 2.372
Al -2.087 -0.528 0.604
Be 0.345 -1.727 3.187
Be -0.369 0.477 2.063
H -0.923 1.808 2.711
H -0.165 -0.363 3.228
```

Properties
- crystal system = monoclinic
- excess energy over the best structure of this formula in the dataset (eV/atom) = 0.085

Computed, not measured: a relaxed CaTmTl3 crystal at the PBE level of DFT.

The structure in extended XYZ format:
```
20
Lattice="-4.937 4.375 -3.878 1.401 -5.212 -7.664 -5.628 -7.402 -1.187" Properties=species:S:1:pos:R:3 pbc="T T T"
Tl -4.652 -7.933 -3.687
Tl -5.484 -6.812 -8.254
Tl -2.473 -2.111 -7.442
Tl -5.328 -2.748 -10.756
Tl -6.690 -6.128 -5.287
Tl -3.291 -4.553 -9.155
Tl -3.015 -9.000 -6.315
Tl -1.211 -3.615 -2.536
Tl -5.872 -3.687 -3.574
Tl -3.679 -1.427 -4.476
Tl -4.511 -0.306 -9.042
Tl -3.835 -5.492 -1.974
Tm -8.605 -6.528 -7.734
Tm -2.528 -7.591 -9.121
Tm -6.635 -0.649 -3.609
Tm -0.558 -1.712 -4.995
Ca -3.044 -5.119 -5.675
Ca -6.119 -3.121 -7.055
Ca -9.080 -4.043 -4.326
Ca -0.083 -4.196 -8.403
```

Properties
- crystal system = orthorhombic
- energy of formation from the pure elements (meV per atom) = -212

Computed, not measured: a relaxed CuW2C4 crystal at the PBE level of DFT.

The structure in extended XYZ format:
```
7
Lattice="3.534 0.000 0.000 0.000 3.534 0.000 1.767 1.767 5.877" Properties=species:S:1:pos:R:3 pbc="T T T"
C 3.534 3.534 2.324
C 0.000 1.767 0.000
C 1.767 0.000 0.000
C 1.767 1.767 3.552
Cu 0.000 0.000 0.000
W 3.534 3.534 4.417
W 1.767 1.767 1.460
```

Properties
- crystal system = tetragonal
- energy of formation from the pure elements (meV per atom) = 1845

Computed, not measured: a relaxed SrHgMo2 crystal at the PBE level of DFT.

The structure in extended XYZ format:
```
4
Lattice="5.423 0.000 0.000 0.000 3.086 0.002 0.000 0.178 5.230" Properties=species:S:1:pos:R:3 pbc="T T T"
Mo 0.000 2.050 2.480
Mo 0.000 2.667 0.139
Hg 2.711 2.448 3.924
Sr 2.711 0.816 1.308
```

Properties
- crystal system = monoclinic
- energy of formation from the pure elements (meV per atom) = 829

Computed, not measured: a relaxed Tl3Te2PbO9 crystal at the PBE level of DFT.

The structure in extended XYZ format:
```
15
Lattice="-2.308 -2.835 4.626 5.565 1.938 0.207 -2.461 6.755 2.912" Properties=species:S:1:pos:R:3 pbc="T T T"
Tl -0.487 0.961 4.103
Tl 1.283 4.898 3.642
Tl 0.000 0.000 0.000
Te 2.559 1.393 2.131
Te -1.764 4.465 5.614
Pb -1.231 3.378 1.456
O -2.727 2.852 5.964
O -1.610 4.224 3.724
O 3.522 3.007 1.781
O 2.782 0.969 0.103
O -1.154 -1.418 2.313
O 0.829 2.068 1.681
O 2.405 1.634 4.021
O -0.033 3.790 6.064
O 1.628 -0.448 2.416
```

Properties
- crystal system = trigonal
- uncorrected formation energy (eV/atom) = -0.79

Computed, not measured: a relaxed Eu2YAl crystal at the PBE level of DFT.

The structure in extended XYZ format:
```
4
Lattice="5.147 0.000 0.000 0.000 4.826 0.000 0.000 0.000 4.826" Properties=species:S:1:pos:R:3 pbc="T T T"
Eu 0.000 2.413 0.000
Eu 0.000 0.000 2.413
Al 2.573 2.413 2.413
Y 2.573 0.000 0.000
```

Properties
- crystal system = tetragonal
- excess energy over the best structure of this formula in the dataset (eV/atom) = 0.000
- energy of formation from the pure elements (meV per atom) = -63

Computed, not measured: a relaxed Pm4BiTe2As crystal at the PBE level of DFT.

The structure in extended XYZ format:
```
8
Lattice="-2.139 -3.739 -0.977 6.458 -2.891 -3.071 3.986 -3.714 5.488" Properties=species:S:1:pos:R:3 pbc="T T T"
Pm 7.700 -4.870 1.783
Pm 0.605 -5.474 -0.344
Pm 4.714 -4.985 -1.228
Pm 3.591 -5.360 2.667
Te 0.924 -3.727 2.256
Te 3.986 -3.714 5.488
As 5.222 -3.303 1.208
Bi 6.146 -7.029 3.464
```

Properties
- crystal system = monoclinic
- uncorrected formation energy (eV/atom) = -1.35

Computed, not measured: a relaxed AcGa2Pb crystal at the PBE level of DFT.

The structure in extended XYZ format:
```
16
Lattice="5.035 0.000 0.000 0.000 7.319 0.000 0.000 0.000 11.907" Properties=species:S:1:pos:R:3 pbc="T T T"
Pb 1.259 4.790 11.176
Pb 3.776 2.530 0.731
Pb 3.776 6.189 5.223
Pb 1.259 1.130 6.684
Ga 1.259 1.145 1.638
Ga 3.776 6.175 10.269
Ga 1.259 4.804 4.316
Ga 3.776 2.515 7.591
Ga 1.259 3.747 2.038
Ga 3.776 3.573 9.869
Ga 1.259 0.087 3.916
Ga 3.776 7.233 7.991
Ac 1.259 1.114 10.206
Ac 1.259 4.774 7.654
Ac 3.776 6.206 1.701
Ac 3.776 2.546 4.253
```

Properties
- crystal system = orthorhombic
- excess energy over the best structure of this formula in the dataset (eV/atom) = 0.000
- energy of formation from the pure elements (meV per atom) = -401

Computed, not measured: a relaxed LaReBi2Pd crystal at the PBE level of DFT.

The structure in extended XYZ format:
```
5
Lattice="-1.639 1.566 4.807 -4.259 -2.577 -0.613 2.279 -4.282 2.172" Properties=species:S:1:pos:R:3 pbc="T T T"
Pd -2.129 -1.288 -0.306
Re 0.000 0.000 0.000
Bi 1.139 -2.141 1.086
Bi -0.820 0.783 2.403
La -1.810 -2.646 3.183
```

Properties
- crystal system = tetragonal
- energy of formation from the pure elements (meV per atom) = 321

Computed, not measured: a relaxed CrNiGeIr2 crystal at the PBE level of DFT.

The structure in extended XYZ format:
```
5
Lattice="-3.625 -2.390 1.268 0.677 -2.685 -3.124 2.604 -2.507 2.719" Properties=species:S:1:pos:R:3 pbc="T T T"
Ge 0.338 -1.343 -1.562
Ir 1.302 -1.253 1.359
Ir -1.812 -1.195 0.634
Ni 0.000 0.000 0.000
Cr -0.172 -3.791 0.432
```

Properties
- crystal system = tetragonal
- energy of formation from the pure elements (meV per atom) = 1423

Computed, not measured: a relaxed Ho2TeO crystal at the PBE level of DFT.

The structure in extended XYZ format:
```
4
Lattice="3.758 0.000 0.000 1.879 3.254 0.000 1.879 1.085 6.759" Properties=species:S:1:pos:R:3 pbc="T T T"
Ho 5.637 3.254 4.601
Ho 1.879 1.085 2.158
Te 0.000 0.000 0.000
O 3.758 2.170 3.380
```

Properties
- crystal system = trigonal
- uncorrected formation energy (eV/atom) = -1.87
- excess energy over the best structure of this formula in the dataset (eV/atom) = 0.070

Computed, not measured: a relaxed Pr2PuSn crystal at the PBE level of DFT.

The structure in extended XYZ format:
```
4
Lattice="-1.150 -2.832 4.621 4.065 -2.549 2.771 1.641 1.945 4.922" Properties=species:S:1:pos:R:3 pbc="T T T"
Pr 1.139 -0.859 3.079
Pr 3.416 -2.577 9.236
Sn 2.277 -1.718 6.157
Pu 0.000 0.000 0.000
```

Properties
- crystal system = cubic
- excess energy over the best structure of this formula in the dataset (eV/atom) = 0.147
- energy of formation from the pure elements (meV per atom) = -178

Computed, not measured: a relaxed BaAsN crystal at the PBE level of DFT.

The structure in extended XYZ format:
```
6
Lattice="-1.847 3.207 3.830 -2.852 -4.226 -1.540 3.031 -3.710 4.568" Properties=species:S:1:pos:R:3 pbc="T T T"
Ba -0.667 -1.126 4.324
Ba -2.517 -1.748 0.250
N -1.268 -3.278 2.133
N -0.736 -3.929 2.935
As 0.575 -0.704 0.867
As 2.456 -3.006 3.701
```

Properties
- crystal system = hexagonal
- uncorrected formation energy (eV/atom) = -0.67
- excess energy over the best structure of this formula in the dataset (eV/atom) = 0.000

Computed, not measured: a relaxed Cr2PtBr crystal at the PBE level of DFT.

The structure in extended XYZ format:
```
4
Lattice="9.081 0.054 0.032 8.573 2.995 0.032 8.573 1.480 2.603" Properties=species:S:1:pos:R:3 pbc="T T T"
Cr 25.985 4.487 2.642
Cr 6.841 1.181 0.696
Pt 13.591 2.347 1.382
Br 19.148 3.306 1.947
```

Properties
- crystal system = trigonal
- uncorrected formation energy (eV/atom) = 0.32
- excess energy over the best structure of this formula in the dataset (eV/atom) = 0.176

Computed, not measured: a relaxed BaLaTm crystal at the PBE level of DFT.

The structure in extended XYZ format:
```
3
Lattice="-0.221 3.722 0.824 -2.454 -2.457 1.589 5.986 -1.260 7.297" Properties=species:S:1:pos:R:3 pbc="T T T"
La 2.121 -1.204 6.003
Ba 0.058 -0.012 0.071
Tm 1.132 1.221 3.636
```

Properties
- crystal system = trigonal
- excess energy over the best structure of this formula in the dataset (eV/atom) = 0.013
- energy of formation from the pure elements (meV per atom) = 182

Computed, not measured: a relaxed Th4Rh2Au crystal at the PBE level of DFT.

The structure in extended XYZ format:
```
7
Lattice="7.266 0.000 0.000 0.000 7.266 0.000 0.000 0.000 3.648" Properties=species:S:1:pos:R:3 pbc="T T T"
Th 5.245 2.021 2.837
Th 5.245 5.245 0.812
Th 2.021 2.021 0.812
Th 2.021 5.245 2.837
Rh 3.633 0.000 1.824
Rh 0.000 3.633 1.824
Au 0.000 0.000 0.000
```

Properties
- crystal system = tetragonal
- energy of formation from the pure elements (meV per atom) = -322

Computed, not measured: a relaxed MgFeB3 crystal at the PBE level of DFT.

The structure in extended XYZ format:
```
5
Lattice="-3.427 1.416 -0.787 -1.551 -2.334 2.553 0.469 2.630 2.690" Properties=species:S:1:pos:R:3 pbc="T T T"
Fe 0.000 0.000 0.000
Mg -2.255 0.856 2.227
B -1.714 0.708 -0.394
B 0.234 1.315 1.345
B -0.775 -1.167 1.276
```

Properties
- crystal system = cubic
- excess energy over the best structure of this formula in the dataset (eV/atom) = 0.000
- energy of formation from the pure elements (meV per atom) = 603

Computed, not measured: a relaxed NdBRh crystal at the PBE level of DFT.

The structure in extended XYZ format:
```
3
Lattice="4.402 0.000 0.000 0.000 3.719 0.000 0.000 -1.860 3.221" Properties=species:S:1:pos:R:3 pbc="T T T"
B 0.734 1.860 1.074
Nd 2.935 0.000 2.147
Rh 0.733 0.000 0.000
```

Properties
- crystal system = hexagonal
- excess energy over the best structure of this formula in the dataset (eV/atom) = 0.090
- energy of formation from the pure elements (meV per atom) = -469

Computed, not measured: a relaxed KRbMn2Br6 crystal at the PBE level of DFT.

The structure in extended XYZ format:
```
20
Lattice="-2.162 -8.971 -4.181 3.439 -5.446 7.819 -7.108 2.136 2.690" Properties=species:S:1:pos:R:3 pbc="T T T"
Br -5.984 -4.076 2.504
Br -1.661 -9.857 -0.287
Br -3.235 -0.839 2.288
Br -4.169 -2.424 6.616
Br -0.062 -2.147 0.128
Br -2.382 -7.006 7.127
Br 0.153 -8.204 3.824
Br -4.464 -7.806 2.891
Br -5.768 -10.133 6.201
Br -2.595 -11.441 4.040
Br -1.366 -4.475 3.438
Br -3.448 -5.274 -0.799
K -1.686 -7.019 1.318
K -4.145 -5.261 5.010
Rb -6.488 -6.736 -0.010
Rb 0.657 -5.544 6.339
Mn -1.045 -2.209 2.531
Mn -5.596 -1.769 1.738
Mn -0.234 -10.511 4.591
Mn -4.786 -10.071 3.798
```

Properties
- crystal system = monoclinic
- uncorrected formation energy (eV/atom) = -1.18

Computed, not measured: a relaxed CePa2Si2 crystal at the PBE level of DFT.

The structure in extended XYZ format:
```
10
Lattice="3.988 0.000 0.000 0.000 7.492 0.000 0.000 0.000 7.492" Properties=species:S:1:pos:R:3 pbc="T T T"
Pa 1.994 2.374 1.372
Pa 1.994 6.120 2.374
Pa 1.994 5.118 6.120
Pa 1.994 1.372 5.118
Si 0.000 4.601 0.854
Si 0.000 2.892 6.638
Si 0.000 0.854 2.892
Si 0.000 6.638 4.601
Ce 0.000 3.746 3.746
Ce 0.000 0.000 0.000
```

Properties
- crystal system = tetragonal
- uncorrected formation energy (eV/atom) = -0.46
- excess energy over the best structure of this formula in the dataset (eV/atom) = 0.000

Computed, not measured: a relaxed K2GaAu2 crystal at the PBE level of DFT.

The structure in extended XYZ format:
```
5
Lattice="-2.040 1.268 3.930 -6.572 0.195 -0.776 -4.627 -4.412 1.720" Properties=species:S:1:pos:R:3 pbc="T T T"
Ga 0.000 0.000 0.000
Au -6.135 -2.622 3.059
Au -7.104 -0.327 1.816
K -3.784 -1.021 1.064
K -9.454 -1.927 3.810
```

Properties
- crystal system = orthorhombic
- excess energy over the best structure of this formula in the dataset (eV/atom) = 0.000
- energy of formation from the pure elements (meV per atom) = -274

Computed, not measured: a relaxed SiAg2PdO4 crystal at the PBE level of DFT.

The structure in extended XYZ format:
```
8
Lattice="-3.055 -1.604 -5.081 2.009 -2.542 -4.118 -2.312 -4.622 -0.863" Properties=species:S:1:pos:R:3 pbc="T T T"
Si -1.679 -4.384 -5.031
O -0.039 -4.584 -4.853
O -2.513 -5.814 -5.178
O -1.751 -3.429 -6.389
O -2.414 -3.708 -3.702
Ag 0.928 -3.062 -3.303
Ag -1.231 -4.101 -1.677
Pd -1.527 -0.802 -2.540
```

Properties
- crystal system = orthorhombic
- uncorrected formation energy (eV/atom) = -0.91

Computed, not measured: a relaxed YSbIr2 crystal at the PBE level of DFT.

The structure in extended XYZ format:
```
8
Lattice="-2.771 -5.109 -0.466 0.776 0.106 -5.777 4.760 -5.689 -2.407" Properties=species:S:1:pos:R:3 pbc="T T T"
Y 2.270 -4.042 -5.653
Y -0.997 -2.501 -3.122
Ir 1.422 -1.823 -4.255
Ir 1.851 -8.640 -7.463
Ir 2.796 -6.146 -3.952
Ir -0.538 -4.773 -1.631
Sb 0.496 -6.649 -2.998
Sb 0.000 0.000 0.000
```

Properties
- crystal system = tetragonal
- uncorrected formation energy (eV/atom) = 0.22

Computed, not measured: a relaxed Pm3EuRh crystal at the PBE level of DFT.

The structure in extended XYZ format:
```
5
Lattice="-2.479 -1.853 4.682 -3.604 -2.991 -3.092 3.516 -4.372 0.131" Properties=species:S:1:pos:R:3 pbc="T T T"
Rh 0.000 0.000 0.000
Pm -1.802 -1.496 -1.546
Pm 1.758 -2.186 0.065
Pm -1.239 -0.927 2.341
Eu -1.283 -4.609 0.860
```

Properties
- crystal system = cubic
- energy of formation from the pure elements (meV per atom) = -225

Computed, not measured: a relaxed Mg2CrAu crystal at the PBE level of DFT.

The structure in extended XYZ format:
```
4
Lattice="4.664 0.000 0.000 2.332 4.039 0.000 2.332 1.346 3.808" Properties=species:S:1:pos:R:3 pbc="T T T"
Au 4.664 2.692 1.904
Cr 6.995 4.039 2.856
Mg 2.332 1.346 0.952
Mg 0.000 0.000 0.000
```

Properties
- crystal system = cubic
- energy of formation from the pure elements (meV per atom) = -34

| no. | density of states at the Fermi level (states/eV per atom) | calculated density (g/cm³) |
| --- | --- | --- |
| 1 | 0.022 | 1.7 |
| 2 | 0.540 | 9.1 |
| 3 | 0.473 | 10.8 |
| 4 | 0.858 | 9.1 |
| 5 | 0.189 | 8.7 |
| 6 | 0.945 | 5.8 |
| 7 | 0.498 | 7.5 |
| 8 | 0.494 | 8.7 |
| 9 | 1.014 | 10.0 |
| 10 | 2.076 | 11.0 |
| 11 | 0.223 | 9.5 |
| 12 | 4.867 | 8.9 |
| 13 | 0.072 | 4.6 |
| 14 | 1.236 | 9.1 |
| 15 | 1.744 | 6.1 |
| 16 | 1.166 | 11.5 |
| 17 | 0.813 | 3.4 |
| 18 | 0.866 | 8.1 |
| 19 | 0.000 | 3.0 |
| 20 | 2.166 | 9.8 |
| 21 | 0.395 | 6.3 |
| 22 | 0.185 | 6.2 |
| 23 | 0.611 | 8.8 |
| 24 | 1.248 | 6.5 |
| 25 | 0.622 | 6.9 |